No. 1
BaMg2Te: relaxed, PBE.

Calculated values
E = -2.570 eV per atom
M_tot = 0.000 μB/f.u.
space group = Immm, No. 71
DOS(E_F) = 0.927 states/eV/cell

```
data_BaMg2Te
_cell_length_a 6.887
_cell_length_b 6.887
_cell_length_c 6.887
_cell_angle_alpha 146.21
_cell_angle_beta 131.90
_cell_angle_gamma 60.08
_symmetry_space_group_name_H-M 'P 1'
_symmetry_Int_Tables_number 1
loop_
_symmetry_equiv_pos_as_xyz
'x,y,z'
loop_
_atom_site_label
_atom_site_fract_x
_atom_site_fract_y
_atom_site_fract_z
Ba1 0.750 0.250 0.500
Mg1 0.037 0.037 0.000
Mg2 0.463 0.463 0.000
Te1 0.250 0.750 0.500
```

No. 2
ZrMnCr: relaxed, PBE.

Calculated values
relative energy among the computed polymorphs = 0.0 meV/atom
formation energy = -0.38 eV per formula unit
E = -9.241 eV per atom
M_tot = 0.619 μB/f.u.
space group = Imma, No. 74
DOS(E_F) = 4.690 states/eV/cell

```
data_ZrMnCr
_cell_length_a 5.004
_cell_length_b 5.004
_cell_length_c 5.004
_cell_angle_alpha 90.94
_cell_angle_beta 120.93
_cell_angle_gamma 118.01
_symmetry_space_group_name_H-M 'P 1'
_symmetry_Int_Tables_number 1
loop_
_symmetry_equiv_pos_as_xyz
'x,y,z'
loop_
_atom_site_label
_atom_site_fract_x
_atom_site_fract_y
_atom_site_fract_z
Cr1 0.000 0.500 0.000
Cr2 0.500 0.500 0.500
Mn1 0.000 0.500 0.500
Mn2 0.500 0.000 0.500
Zr1 0.250 0.125 0.875
Zr2 0.750 0.875 0.125
```

No. 3
InBTe2: relaxed, PBE.

Calculated values
relative energy among the computed polymorphs = 307.7 meV/atom
E = -3.401 eV per atom
M_tot = 0.000 μB/f.u.
space group = R-3m, No. 166
DOS(E_F) = 2.041 states/eV/cell

```
data_InBTe2
_cell_length_a 9.832
_cell_length_b 9.832
_cell_length_c 9.832
_cell_angle_alpha 20.32
_cell_angle_beta 20.32
_cell_angle_gamma 20.32
_symmetry_space_group_name_H-M 'P 1'
_symmetry_Int_Tables_number 1
loop_
_symmetry_equiv_pos_as_xyz
'x,y,z'
loop_
_atom_site_label
_atom_site_fract_x
_atom_site_fract_y
_atom_site_fract_z
Te1 0.885 0.885 0.885
Te2 0.115 0.115 0.115
B1 0.500 0.500 0.500
In1 0.000 0.000 0.000
```

M_tot of number 3 (InBTe2)? 0.000 μB/f.u.

The highest M_tot belongs to which entry? ZrMnCr

Among the records above, which one has the highest M_tot? ZrMnCr